No. 1
An optimized crystal structure of CsP2ClO, computed with GGA-PBEsol.

Properties
Density of states at the Fermi level: 1.349 states/eV per atom
Energy relative to the elements, uncorrected: 1.54 eV/atom

```
data_CsP2ClO
_cell_length_a 4.335
_cell_length_b 6.625
_cell_length_c 6.625
_cell_angle_alpha 90.00
_cell_angle_beta 90.00
_cell_angle_gamma 90.00
_symmetry_space_group_name_H-M 'P 1'
_symmetry_Int_Tables_number 1
_symmetry_space_group_name_Hall 'P 1'
loop_
_atom_site_label
_atom_site_type_symbol
_atom_site_fract_x
_atom_site_fract_y
_atom_site_fract_z
Cs1 Cs 0.000 0.000 0.000
P1 P 0.000 0.000 0.500
P2 P 0.000 0.500 0.000
O1 O 0.500 0.000 0.000
Cl1 Cl 0.500 0.500 0.500
```

---

No. 2
An optimized crystal structure of Cs2PuCl4O2, computed with GGA-PBEsol.

Properties
Density of states at the Fermi level: 0.757 states/eV per atom
Energy relative to the elements, uncorrected: -2.00 eV/atom

```
data_Cs2PuCl4O2
_cell_length_a 5.785
_cell_length_b 7.000
_cell_length_c 7.000
_cell_angle_alpha 114.73
_cell_angle_beta 98.32
_cell_angle_gamma 81.68
_symmetry_space_group_name_H-M 'P 1'
_symmetry_Int_Tables_number 1
_symmetry_space_group_name_Hall 'P 1'
loop_
_atom_site_label
_atom_site_type_symbol
_atom_site_fract_x
_atom_site_fract_y
_atom_site_fract_z
Cs1 Cs 0.683 0.666 0.334
Cs2 Cs 0.317 0.334 0.666
Pu1 Pu 0.000 0.000 0.000
Cl1 Cl 0.796 0.648 0.845
Cl2 Cl 0.204 0.352 0.155
Cl3 Cl 0.204 0.845 0.648
Cl4 Cl 0.796 0.155 0.352
O1 O 0.766 0.119 0.881
O2 O 0.234 0.881 0.119
```

---

No. 3
An optimized crystal structure of Cs3Re2Cl10O, computed with GGA-PBEsol.

Properties
Density of states at the Fermi level: 0.393 states/eV per atom
Energy relative to the elements, uncorrected: -1.29 eV/atom

```
data_Cs3Re2Cl10O
_cell_length_a 7.361
_cell_length_b 7.361
_cell_length_c 10.164
_cell_angle_alpha 111.23
_cell_angle_beta 111.23
_cell_angle_gamma 90.00
_symmetry_space_group_name_H-M 'P 1'
_symmetry_Int_Tables_number 1
_symmetry_space_group_name_Hall 'P 1'
loop_
_atom_site_label
_atom_site_type_symbol
_atom_site_fract_x
_atom_site_fract_y
_atom_site_fract_z
Cs1 Cs 0.250 0.750 0.500
Cs2 Cs 0.750 0.250 0.500
Cs3 Cs 0.500 0.500 0.000
Re1 Re 0.105 0.105 0.210
Re2 Re 0.895 0.895 0.790
Cl1 Cl 0.241 0.241 0.482
Cl2 Cl 0.759 0.759 0.518
Cl3 Cl 0.886 0.886 0.223
Cl4 Cl 0.337 0.337 0.223
Cl5 Cl 0.886 0.337 0.223
Cl6 Cl 0.337 0.886 0.223
Cl7 Cl 0.114 0.114 0.777
Cl8 Cl 0.663 0.663 0.777
Cl9 Cl 0.114 0.663 0.777
Cl10 Cl 0.663 0.114 0.777
O1 O 0.000 0.000 0.000
```

---

No. 4
An optimized crystal structure of Cs4Ru2Cl10O, computed with GGA-PBEsol.

Properties
Energy relative to the elements, uncorrected: -1.34 eV/atom

```
data_Cs4Ru2Cl10O
_cell_length_a 11.648
_cell_length_b 12.435
_cell_length_c 13.777
_cell_angle_alpha 90.00
_cell_angle_beta 90.00
_cell_angle_gamma 90.00
_symmetry_space_group_name_H-M 'P 1'
_symmetry_Int_Tables_number 1
_symmetry_space_group_name_Hall 'P 1'
loop_
_atom_site_label
_atom_site_type_symbol
_atom_site_fract_x
_atom_site_fract_y
_atom_site_fract_z
Cs1 Cs 0.719 0.105 0.638
Cs2 Cs 0.520 0.224 0.355
Cs3 Cs 0.781 0.105 0.138
Cs4 Cs 0.980 0.724 0.645
Cs5 Cs 0.219 0.395 0.638
Cs6 Cs 0.980 0.224 0.855
Cs7 Cs 0.281 0.895 0.362
Cs8 Cs 0.781 0.605 0.362
Cs9 Cs 0.281 0.395 0.138
Cs10 Cs 0.719 0.605 0.862
Cs11 Cs 0.520 0.724 0.145
Cs12 Cs 0.480 0.276 0.855
Cs13 Cs 0.480 0.776 0.645
Cs14 Cs 0.219 0.895 0.862
Cs15 Cs 0.020 0.276 0.355
Cs16 Cs 0.020 0.776 0.145
Ru1 Ru 0.590 0.445 0.592
Ru2 Ru 0.090 0.055 0.592
Ru3 Ru 0.410 0.555 0.408
Ru4 Ru 0.410 0.055 0.092
Ru5 Ru 0.090 0.555 0.908
Ru6 Ru 0.910 0.445 0.092
Ru7 Ru 0.590 0.945 0.908
Ru8 Ru 0.910 0.945 0.408
Cl1 Cl 0.026 0.013 0.281
Cl2 Cl 0.486 0.282 0.598
Cl3 Cl 0.221 0.632 0.017
Cl4 Cl 0.486 0.782 0.902
Cl5 Cl 0.721 0.868 0.017
Cl6 Cl 0.514 0.718 0.402
Cl7 Cl 0.706 0.101 0.897
Cl8 Cl 0.279 0.132 0.983
Cl9 Cl 0.795 0.373 0.215
Cl10 Cl 0.294 0.899 0.103
Cl11 Cl 0.795 0.873 0.285
Cl12 Cl 0.705 0.373 0.715
Cl13 Cl 0.986 0.718 0.902
Cl14 Cl 0.205 0.127 0.715
Cl15 Cl 0.721 0.368 0.483
Cl16 Cl 0.974 0.987 0.719
Cl17 Cl 0.794 0.101 0.397
Cl18 Cl 0.205 0.627 0.785
Cl19 Cl 0.706 0.601 0.603
Cl20 Cl 0.206 0.399 0.897
Cl21 Cl 0.295 0.627 0.285
Cl22 Cl 0.026 0.513 0.219
Cl23 Cl 0.514 0.218 0.098
Cl24 Cl 0.014 0.782 0.402
Cl25 Cl 0.526 0.487 0.281
Cl26 Cl 0.221 0.132 0.483
Cl27 Cl 0.974 0.487 0.781
Cl28 Cl 0.705 0.873 0.785
Cl29 Cl 0.779 0.868 0.517
Cl30 Cl 0.279 0.632 0.517
Cl31 Cl 0.206 0.899 0.603
Cl32 Cl 0.779 0.368 0.983
Cl33 Cl 0.986 0.218 0.598
Cl34 Cl 0.526 0.987 0.219
Cl35 Cl 0.474 0.013 0.781
Cl36 Cl 0.794 0.601 0.103
Cl37 Cl 0.295 0.127 0.215
Cl38 Cl 0.474 0.513 0.719
Cl39 Cl 0.014 0.282 0.098
Cl40 Cl 0.294 0.399 0.397
O1 O 0.500 0.000 0.000
O2 O 0.500 0.500 0.500
O3 O 0.000 0.500 0.000
O4 O 0.000 0.000 0.500
```

---

No. 5
An optimized crystal structure of Cs2UCl4O2, computed with GGA-PBEsol.

Properties
Density of states at the Fermi level: 0.000 states/eV per atom
Energy relative to the elements, uncorrected: -2.24 eV/atom

```
data_Cs2UCl4O2
_cell_length_a 5.817
_cell_length_b 7.039
_cell_length_c 7.039
_cell_angle_alpha 114.93
_cell_angle_beta 99.60
_cell_angle_gamma 80.40
_symmetry_space_group_name_H-M 'P 1'
_symmetry_Int_Tables_number 1
_symmetry_space_group_name_Hall 'P 1'
loop_
_atom_site_label
_atom_site_type_symbol
_atom_site_fract_x
_atom_site_fract_y
_atom_site_fract_z
Cs1 Cs 0.324 0.332 0.668
Cs2 Cs 0.676 0.668 0.332
U1 U 0.000 0.000 0.000
Cl1 Cl 0.203 0.846 0.649
Cl2 Cl 0.797 0.649 0.846
Cl3 Cl 0.797 0.154 0.351
Cl4 Cl 0.203 0.351 0.154
O1 O 0.241 0.878 0.122
O2 O 0.759 0.122 0.878
```

---

No. 6
An optimized crystal structure of CsRe2OsSe4Cl3, computed with GGA-PBEsol.

Properties
Density of states at the Fermi level: 0.000 states/eV per atom
Energy relative to the elements, uncorrected: -0.78 eV/atom

```
data_CsRe2OsSe4Cl3
_cell_length_a 9.816
_cell_length_b 9.848
_cell_length_c 14.131
_cell_angle_alpha 90.27
_cell_angle_beta 90.54
_cell_angle_gamma 60.11
_symmetry_space_group_name_H-M 'P 1'
_symmetry_Int_Tables_number 1
_symmetry_space_group_name_Hall 'P 1'
loop_
_atom_site_label
_atom_site_type_symbol
_atom_site_fract_x
_atom_site_fract_y
_atom_site_fract_z
Cs1 Cs 0.999 0.998 0.501
Cs2 Cs 0.997 0.002 0.001
Cs3 Cs 0.670 0.667 0.749
Cs4 Cs 0.336 0.333 0.249
Re1 Re 0.487 0.177 0.676
Re2 Re 0.179 0.332 0.674
Re3 Re 0.664 0.823 0.176
Re4 Re 0.512 0.668 0.174
Re5 Re 0.667 0.513 0.324
Re6 Re 0.822 0.665 0.326
Re7 Re 0.179 0.487 0.824
Re8 Re 0.487 0.335 0.826
Os1 Os 0.335 0.486 0.672
Os2 Os 0.821 0.514 0.172
Os3 Os 0.513 0.821 0.328
Os4 Os 0.334 0.179 0.828
Se1 Se 0.335 0.330 0.533
Se2 Se 0.665 0.670 0.033
Se3 Se 0.668 0.664 0.467
Se4 Se 0.333 0.336 0.967
Se5 Se 0.628 0.331 0.676
Se6 Se 0.330 0.038 0.680
Se7 Se 0.043 0.627 0.672
Se8 Se 0.368 0.962 0.180
Se9 Se 0.959 0.669 0.176
Se10 Se 0.670 0.373 0.172
Se11 Se 0.370 0.671 0.324
Se12 Se 0.667 0.959 0.328
Se13 Se 0.962 0.370 0.320
Se14 Se 0.626 0.041 0.828
Se15 Se 0.041 0.329 0.824
Se16 Se 0.332 0.630 0.820
Cl1 Cl 0.344 0.681 0.578
Cl2 Cl 0.686 0.970 0.585
Cl3 Cl 0.973 0.339 0.579
Cl4 Cl 0.656 0.030 0.085
Cl5 Cl 0.025 0.319 0.078
Cl6 Cl 0.313 0.661 0.079
Cl7 Cl 0.660 0.313 0.416
Cl8 Cl 0.317 0.023 0.423
Cl9 Cl 0.030 0.656 0.419
Cl10 Cl 0.340 0.977 0.923
Cl11 Cl 0.973 0.687 0.916
Cl12 Cl 0.686 0.344 0.919
```

---

No. 7
An optimized crystal structure of CsOsS2Cl, computed with GGA-PBEsol.

Properties
Density of states at the Fermi level: 1.232 states/eV per atom
Energy relative to the elements, uncorrected: 2.15 eV/atom

```
data_CsOsS2Cl
_cell_length_a 5.355
_cell_length_b 5.355
_cell_length_c 5.930
_cell_angle_alpha 90.00
_cell_angle_beta 90.00
_cell_angle_gamma 90.00
_symmetry_space_group_name_H-M 'P 1'
_symmetry_Int_Tables_number 1
_symmetry_space_group_name_Hall 'P 1'
loop_
_atom_site_label
_atom_site_type_symbol
_atom_site_fract_x
_atom_site_fract_y
_atom_site_fract_z
Cs1 Cs 0.000 0.000 0.000
S1 S 0.000 0.500 0.000
S2 S 0.500 0.000 0.000
Os1 Os 0.500 0.500 0.500
Cl1 Cl 0.000 0.000 0.500
```

---

No. 8
An optimized crystal structure of CsP2PbCl, computed with GGA-PBEsol.

Properties
Density of states at the Fermi level: 1.196 states/eV per atom
Energy relative to the elements, uncorrected: 1.08 eV/atom

```
data_CsP2PbCl
_cell_length_a 5.342
_cell_length_b 5.342
_cell_length_c 5.817
_cell_angle_alpha 90.00
_cell_angle_beta 90.00
_cell_angle_gamma 90.00
_symmetry_space_group_name_H-M 'P 1'
_symmetry_Int_Tables_number 1
_symmetry_space_group_name_Hall 'P 1'
loop_
_atom_site_label
_atom_site_type_symbol
_atom_site_fract_x
_atom_site_fract_y
_atom_site_fract_z
Pb1 Pb 0.500 0.500 0.500
Cs1 Cs 0.000 0.000 0.000
P1 P 0.000 0.500 0.000
P2 P 0.500 0.000 0.000
Cl1 Cl 0.000 0.000 0.500
```

---

How do the records compare in magnetization? In the order shown, they have 5.2, 2.0, 3.0, 0.0, 0.0, 0.0, 6.1, 0.7 Bohr magnetons per cell.